Record 1
! Dy3HoTh4S8 | Alexandria via LeMat-Bulk | PBE | relaxed; values from VASP
! M_tot (μB per formula unit): 0.00
! DFT total energy (eV/atom): -6.98
! Space-group type: No. 166
&SYSTEM
  ibrav = 0, nat = 16, ntyp = 4
/
ATOMIC_SPECIES
Th 232.04 Th.upf
S 32.06 S.upf
Ho 164.93 Ho.upf
Dy 162.50 Dy.upf
CELL_PARAMETERS angstrom
-7.442 2.153 -0.921
-1.670 -7.187 -3.314
3.275 0.210 7.077
ATOMIC_POSITIONS crystal
Th 0.000 0.000 0.000
S 0.756 0.267 0.011
Th 0.500 0.000 0.500
Ho 0.000 0.500 0.000
S 0.255 0.267 0.011
Th 0.000 0.000 0.500
S 0.756 0.267 0.512
Th 0.500 0.000 0.000
S 0.745 0.733 0.989
Dy 0.500 0.500 0.500
Dy 0.500 0.500 0.000
Dy 0.000 0.500 0.500
S 0.745 0.734 0.489
S 0.255 0.266 0.511
S 0.244 0.733 0.989
S 0.244 0.733 0.488


Record 2
! ErAg2Sb2 | Alexandria via LeMat-Bulk | PBE | relaxed; values from VASP
! M_tot (μB per formula unit): 0.00
! DFT total energy (eV/atom): -4.15
! Space-group type: No. 63
&SYSTEM
  ibrav = 0, nat = 10, ntyp = 3
/
ATOMIC_SPECIES
Ag 107.87 Ag.upf
Er 167.26 Er.upf
Sb 121.76 Sb.upf
CELL_PARAMETERS angstrom
4.353 0.000 0.000
0.000 4.351 0.000
-2.176 0.000 12.166
ATOMIC_POSITIONS crystal
Ag 0.459 0.750 0.918
Er 0.349 0.250 0.697
Sb 0.250 0.750 0.500
Sb 0.119 0.250 0.238
Er 0.651 0.750 0.303
Ag 0.960 0.250 0.919
Ag 0.541 0.250 0.082
Sb 0.750 0.250 0.500
Ag 0.040 0.750 0.081
Sb 0.881 0.750 0.762


Record 3
! Pu2In8Ru | Alexandria via LeMat-Bulk | PBE | relaxed; values from VASP
! M_tot (μB per formula unit): 11.15
! DFT total energy (eV/atom): -5.64
! Space-group type: No. 123
&SYSTEM
  ibrav = 0, nat = 11, ntyp = 3
/
ATOMIC_SPECIES
In 114.82 In.upf
Pu 244.00 Pu.upf
Ru 101.07 Ru.upf
CELL_PARAMETERS angstrom
-2.493 -3.817 0.995
2.426 -0.555 3.947
-8.127 6.862 5.961
ATOMIC_POSITIONS crystal
In 0.500 0.500 0.690
In 0.000 0.500 0.877
In 0.000 0.500 0.500
Pu 0.000 0.000 0.692
Pu 0.000 0.000 0.308
In 0.500 0.000 0.877
Ru 0.000 0.000 0.000
In 0.500 0.000 0.123
In 0.500 0.500 0.310
In 0.000 0.500 0.123
In 0.500 0.000 0.500


Record 4
! Be2InNi | Alexandria via LeMat-Bulk | PBE | relaxed; values from VASP
! Energy above the lowest structure with this stoichiometry (meV per atom): 24
! M_tot (μB per formula unit): 0.00
! DFT total energy (eV/atom): -3.92
! Space-group type: No. 99
&SYSTEM
  ibrav = 0, nat = 4, ntyp = 3
/
ATOMIC_SPECIES
Be 9.01 Be.upf
In 114.82 In.upf
Ni 58.69 Ni.upf
CELL_PARAMETERS angstrom
-2.188 -1.423 -1.296
1.739 -2.301 -0.410
-1.647 -2.163 5.155
ATOMIC_POSITIONS crystal
Be 0.000 0.000 0.992
Be 0.500 0.500 0.186
In 0.000 0.000 0.503
Ni 0.500 0.500 0.819